# MgSn2Ge2 | Alexandria | PBE-GGA | optimized geometry
# * calculated volume: 26.54 A^3/atom
# * energy above the lowest structure with this stoichiometry: 146 meV per atom
# * energy of formation: 0.217 eV per atom
# * total magnetic moment: 0.00 Bohr magnetons per cell
data_MgSn2Ge2
_space_group_name_H-M_alt 'P 1'
_space_group_IT_number 1
_cell_length_a 6.989
_cell_length_b 6.989
_cell_length_c 6.989
_cell_angle_alpha 141.25
_cell_angle_beta 141.25
_cell_angle_gamma 55.95
loop_
_space_group_symop_operation_xyz
'x,y,z'
loop_
_atom_site_label
_atom_site_fract_x
_atom_site_fract_y
_atom_site_fract_z
_atom_site_occupancy
Mg1 0.000 0.000 0.000 1
Sn1 0.250 0.750 0.500 1
Sn2 0.750 0.250 0.500 1
Ge1 0.396 0.396 0.000 1
Ge2 0.604 0.604 0.000 1